Model i:
Material: NaSb2Br
Method: DFT, PBE
State: optimized geometry

```
NaSb2Br
1.0
0.000 3.810 3.810
3.810 0.000 3.810
3.810 3.810 0.000
Sb Br Na
2 1 1
direct
0.750 0.750 0.750
0.250 0.250 0.250
0.500 0.500 0.500
0.000 0.000 0.000
```

Calculated values
ρ   5.200 g/cm3
M_tot   0.00 μB per formula unit

Model ii:
Material: NaSb2Br
Method: DFT, PBE
State: optimized geometry

```
NaSb2Br
1.0
-3.170 -2.562 1.245
0.954 -2.710 -3.148
8.103 -9.715 7.934
Na Br Sb
2 2 4
direct
0.250 0.750 0.500
0.500 0.500 0.000
0.750 0.250 0.500
0.000 0.000 0.000
0.594 0.125 0.250
0.375 0.406 0.750
0.156 0.625 0.250
0.875 0.844 0.750
```

Calculated values
ρ   4.332 g/cm3
M_tot   0.00 μB per formula unit

Energy above the most stable structure, in meV/atom: model i 649; model ii 0

Model i:
Material: NaSbBr5
Method: DFT, PBE
State: optimized geometry

```
NaSbBr5
1.0
-6.471 -3.689 -1.083
4.567 -5.113 -3.107
-0.226 -9.790 5.653
Br Sb Na
10 2 2
direct
0.292 0.821 0.468
0.708 0.179 0.532
0.018 0.982 0.750
0.982 0.018 0.250
0.821 0.292 0.968
0.716 0.645 0.655
0.355 0.284 0.845
0.179 0.708 0.032
0.645 0.716 0.155
0.284 0.355 0.345
0.000 0.000 0.500
0.000 0.000 0.000
0.706 0.294 0.250
0.294 0.706 0.750
```

Calculated values
ρ   3.435 g/cm3
M_tot   0.00 μB per formula unit

Model ii:
Material: NaSbBr5
Method: DFT, PBE
State: optimized geometry

```
NaSbBr5
1.0
-7.034 -0.364 2.615
5.616 -8.675 3.224
3.933 6.831 11.528
Br Na Sb
20 4 4
direct
0.964 0.120 0.613
0.152 0.619 0.112
0.036 0.880 0.387
0.821 0.704 0.618
0.156 0.499 0.614
0.848 0.381 0.888
0.652 0.119 0.388
0.613 0.300 0.615
0.536 0.380 0.113
0.656 0.999 0.886
0.113 0.800 0.885
0.464 0.620 0.887
0.321 0.204 0.882
0.348 0.881 0.612
0.844 0.501 0.386
0.179 0.296 0.382
0.387 0.700 0.385
0.887 0.200 0.115
0.679 0.796 0.118
0.344 0.001 0.114
0.194 0.385 0.000
0.306 0.115 0.500
0.694 0.885 0.500
0.806 0.615 0.000
0.604 0.201 0.999
0.396 0.799 0.001
0.104 0.701 0.501
0.896 0.299 0.499
```

Calculated values
ρ   3.388 g/cm3
M_tot   0.00 μB per formula unit

Energy above the most stable structure, in meV/atom: model i 22; model ii 0

Model i:
Material: NaSb2TeBr
Method: DFT, PBE
State: optimized geometry

```
NaSb2TeBr
1.0
-4.107 3.540 1.267
-2.730 -4.098 2.599
2.767 1.387 5.094
Br Sb Na Te
1 2 1 1
direct
0.000 0.000 0.000
0.000 0.500 0.000
0.500 0.000 0.000
0.500 0.500 0.500
0.000 0.000 0.500
```

Calculated values
ρ   4.260 g/cm3
M_tot   0.35 μB per formula unit

Model ii:
Material: NaSb2TeBr
Method: DFT, PBE
State: optimized geometry

```
NaSb2TeBr
1.0
-5.283 -1.653 -0.609
1.222 -4.826 2.496
-1.218 2.144 4.742
Br Na Te Sb
1 1 1 2
direct
0.500 0.500 0.500
0.000 0.000 0.000
0.000 0.000 0.500
0.500 0.000 0.000
0.000 0.500 0.000
```

Calculated values
ρ   4.749 g/cm3
M_tot   0.00 μB per formula unit

Energy above the most stable structure, in meV/atom: model i 0; model ii 141

Model i:
Material: Na3ScBr
Method: DFT, PBE
State: optimized geometry

```
Na3ScBr
1.0
-5.348 1.835 -0.111
-0.873 -2.238 5.120
1.617 4.859 2.399
Na Br Sc
3 1 1
direct
0.500 0.000 0.000
0.000 0.000 0.500
0.000 0.500 0.000
0.000 0.000 0.000
0.500 0.500 0.500
```

Calculated values
ρ   1.779 g/cm3
M_tot   1.59 μB per formula unit

Model ii:
Material: Na3ScBr
Method: DFT, PBE
State: optimized geometry

```
Na3ScBr
1.0
-4.985 -3.333 -2.315
3.977 -4.740 -1.741
-0.804 -2.783 5.738
Na Br Sc
3 1 1
direct
0.000 0.000 0.500
0.000 0.500 0.000
0.500 0.000 0.000
0.500 0.500 0.500
0.000 0.000 0.000
```

Calculated values
ρ   1.212 g/cm3
M_tot   2.76 μB per formula unit

Energy above the most stable structure, in meV/atom: model i 0; model ii 504

Model i:
Material: NaSc2Br
Method: DFT, PBE
State: optimized geometry

```
NaSc2Br
1.0
1.687 -4.868 0.189
-3.117 -3.745 1.683
-1.845 -3.498 -3.307
Br Sc Na
1 2 1
direct
0.500 0.500 0.500
0.750 0.750 0.750
0.250 0.250 0.250
0.000 0.000 0.000
```

Calculated values
ρ   3.305 g/cm3
M_tot   1.13 μB per formula unit

Model ii:
Material: NaSc2Br
Method: DFT, PBE
State: optimized geometry

```
NaSc2Br
1.0
-7.806 -2.834 -1.631
2.534 -7.912 1.617
-3.386 -5.009 2.949
Br Sc Na
2 4 2
direct
0.750 0.250 0.500
0.000 0.000 0.000
0.375 0.299 0.750
0.875 0.951 0.750
0.049 0.625 0.250
0.701 0.125 0.250
0.500 0.500 0.000
0.250 0.750 0.500
```

Calculated values
ρ   2.910 g/cm3
M_tot   1.57 μB per formula unit

Model iii:
Material: NaSc2Br
Method: DFT, PBE
State: optimized geometry

```
NaSc2Br
1.0
-9.609 -4.869 2.762
-8.372 -7.280 0.760
-7.492 -7.173 4.010
Na Sc Br
1 2 1
direct
0.000 0.000 0.000
0.900 0.900 0.900
0.100 0.100 0.100
0.500 0.500 0.500
```

Calculated values
ρ   2.975 g/cm3
M_tot   1.41 μB per formula unit

Energy above the most stable structure, in meV/atom: model i 332; model ii 139; model iii 0

Model i:
Material: NaScBr4
Method: DFT, PBE
State: optimized geometry

```
NaScBr4
1.0
3.986 0.000 0.000
0.000 6.843 -0.773
0.000 0.945 7.317
Na Br Sc
1 4 1
direct
0.500 0.000 0.500
0.000 0.218 0.706
0.500 0.224 0.138
0.000 0.782 0.294
0.500 0.776 0.862
0.000 0.000 0.000
```

Calculated values
ρ   3.179 g/cm3
M_tot   0.00 μB per formula unit

Model ii:
Material: NaScBr4
Method: DFT, PBE
State: optimized geometry

```
NaScBr4
1.0
6.852 -0.455 0.000
-1.671 7.096 0.000
-2.590 -3.320 8.629
Br Na Sc
8 2 2
direct
0.544 0.266 0.092
0.862 0.603 0.653
0.047 0.826 0.092
0.953 0.174 0.908
0.291 0.050 0.653
0.456 0.734 0.908
0.138 0.397 0.347
0.709 0.950 0.347
0.668 0.418 0.835
0.332 0.582 0.165
0.824 0.074 0.149
0.176 0.926 0.851
```

Calculated values
ρ   3.117 g/cm3
M_tot   0.00 μB per formula unit

Energy above the most stable structure, in meV/atom: model i 0; model ii 21

Model i:
Material: Na3ScBr6
Method: DFT, PBE
State: optimized geometry

```
Na3ScBr6
1.0
7.376 0.000 0.000
-3.688 6.388 0.000
0.000 0.000 13.262
Br Sc Na
12 2 6
direct
0.368 0.321 0.869
0.632 0.679 0.131
0.047 0.368 0.131
0.679 0.047 0.869
0.632 0.953 0.369
0.321 0.368 0.369
0.953 0.632 0.869
0.679 0.632 0.631
0.953 0.321 0.631
0.321 0.953 0.131
0.047 0.679 0.369
0.368 0.047 0.631
0.333 0.667 0.250
0.667 0.333 0.750
0.667 0.333 0.464
0.333 0.667 0.964
0.000 0.000 0.250
0.667 0.333 0.036
0.000 0.000 0.750
0.333 0.667 0.536
```

Calculated values
ρ   3.153 g/cm3
M_tot   0.00 μB per formula unit

Model ii:
Material: Na3ScBr6
Method: DFT, PBE
State: optimized geometry

```
Na3ScBr6
1.0
-4.735 2.677 4.656
-5.707 -1.905 -4.709
-0.707 -9.530 4.713
Sc Na Br
2 6 12
direct
0.500 0.500 0.500
0.000 0.000 0.000
0.964 0.409 0.747
0.000 0.000 0.500
0.036 0.591 0.253
0.536 0.909 0.753
0.500 0.500 0.000
0.464 0.091 0.247
0.302 0.822 0.068
0.698 0.178 0.932
0.802 0.678 0.568
0.665 0.203 0.574
0.165 0.297 0.074
0.359 0.551 0.731
0.141 0.051 0.769
0.835 0.703 0.926
0.335 0.797 0.426
0.859 0.949 0.231
0.641 0.449 0.269
0.198 0.322 0.432
```

Calculated values
ρ   3.381 g/cm3
M_tot   0.00 μB per formula unit

Energy above the most stable structure, in meV/atom: model i 0; model ii 17

Model i:
Material: Na2ScBr4
Method: DFT, PBE
State: optimized geometry

```
Na2ScBr4
1.0
-1.078 -0.326 3.900
7.309 -0.856 1.950
-2.864 7.123 -2.308
Br Sc Na
4 1 2
direct
0.370 0.727 0.739
0.890 0.183 0.780
0.630 0.273 0.261
0.110 0.817 0.220
0.000 0.000 0.000
0.716 0.736 0.431
0.284 0.264 0.569
```

Calculated values
ρ   3.364 g/cm3
M_tot   1.00 μB per formula unit

Model ii:
Material: Na2ScBr4
Method: DFT, PBE
State: optimized geometry

```
Na2ScBr4
1.0
-3.029 -0.819 4.019
-3.827 -1.234 -3.136
-0.173 -11.788 0.703
Br Na Sc
4 2 1
direct
0.317 0.317 0.365
0.683 0.683 0.635
0.000 0.500 0.000
0.500 0.000 0.000
0.194 0.194 0.611
0.806 0.806 0.389
0.000 0.000 0.000
```

Calculated values
ρ   2.331 g/cm3
M_tot   1.00 μB per formula unit

Energy above the most stable structure, in meV/atom: model i 0; model ii 287

Model i:
Material: Na3SeBr
Method: DFT, PBE
State: optimized geometry

```
Na3SeBr
1.0
-4.760 -3.402 -5.609
1.168 -7.346 3.233
-6.483 0.746 4.817
Se Na Br
4 12 4
direct
0.141 0.250 0.136
0.859 0.750 0.864
0.359 0.864 0.750
0.641 0.136 0.250
0.826 0.408 0.046
0.326 0.046 0.408
0.174 0.592 0.954
0.934 0.933 0.170
0.588 0.588 0.690
0.566 0.830 0.067
0.912 0.310 0.412
0.434 0.170 0.933
0.412 0.412 0.310
0.066 0.067 0.830
0.674 0.954 0.592
0.088 0.690 0.588
0.250 0.363 0.637
0.750 0.262 0.738
0.750 0.637 0.363
0.250 0.738 0.262
```

Calculated values
ρ   2.841 g/cm3
M_tot   0.00 μB per formula unit

Model ii:
Material: Na3SeBr
Method: DFT, PBE
State: optimized geometry

```
Na3SeBr
1.0
5.462 0.000 0.000
0.000 5.462 0.000
0.000 0.000 5.462
Na Se Br
3 1 1
direct
0.500 0.000 0.000
0.000 0.500 0.000
0.000 0.000 0.500
0.000 0.000 0.000
0.500 0.500 0.500
```

Calculated values
ρ   2.322 g/cm3
M_tot   0.00 μB per formula unit

Energy above the most stable structure, in meV/atom: model i 0; model ii 71

Model i:
Material: Na2SeBr
Method: DFT, PBE
State: optimized geometry

```
Na2SeBr
1.0
-6.912 3.267 2.186
-3.117 -7.249 0.980
-4.031 -1.993 4.696
Na Se Br
4 2 2
direct
0.132 0.625 0.250
0.618 0.125 0.250
0.875 0.868 0.750
0.375 0.382 0.750
0.250 0.750 0.500
0.500 0.500 0.000
0.000 0.000 0.000
0.750 0.250 0.500
```

Calculated values
ρ   3.295 g/cm3
M_tot   0.00 μB per formula unit

Model ii:
Material: Na2SeBr
Method: DFT, PBE
State: optimized geometry

```
Na2SeBr
1.0
0.000 3.684 3.684
3.684 0.000 3.684
3.684 3.684 0.000
Se Na Br
1 2 1
direct
0.000 0.000 0.000
0.750 0.750 0.750
0.250 0.250 0.250
0.500 0.500 0.500
```

Calculated values
ρ   3.403 g/cm3
M_tot   1.00 μB per formula unit

Energy above the most stable structure, in meV/atom: model i 0; model ii 30

Model i:
Material: NaSiSe2Br
Method: DFT, PBE
State: optimized geometry

```
NaSiSe2Br
1.0
-3.671 2.820 -1.353
-2.092 -0.662 4.295
2.713 4.498 2.014
Se Na Br Si
2 1 1 1
direct
0.000 0.500 0.000
0.500 0.000 0.000
0.500 0.500 0.500
0.000 0.000 0.500
0.000 0.000 0.000
```

Calculated values
ρ   3.666 g/cm3
M_tot   0.00 μB per formula unit

Model ii:
Material: NaSiSe2Br
Method: DFT, PBE
State: optimized geometry

```
NaSiSe2Br
1.0
-2.650 0.853 -4.307
-3.476 -3.482 1.449
-2.751 3.760 2.438
Se Br Si Na
2 1 1 1
direct
0.000 0.500 0.000
0.500 0.000 0.000
0.000 0.000 0.500
0.500 0.500 0.500
0.000 0.000 0.000
```

Calculated values
ρ   3.468 g/cm3
M_tot   0.00 μB per formula unit

Energy above the most stable structure, in meV/atom: model i 0; model ii 997